1.
# PBE ScTlZn, optimized geometry
data_ScTlZn
_cell_length_a 6.610
_cell_length_b 4.600
_cell_length_c 5.755
_cell_angle_alpha 66.41
_cell_angle_beta 124.94
_cell_angle_gamma 89.95
_space_group_name_H-M_alt 'P 1'
_space_group_IT_number 1
loop_
_space_group_symop_operation_xyz
'x,y,z'
loop_
_atom_site_label
_atom_site_fract_x
_atom_site_fract_y
_atom_site_fract_z
Sc1 0.509 0.468 0.156
Sc2 0.005 0.467 0.157
Zn1 0.909 0.817 0.457
Zn2 0.606 0.118 0.855
Tl1 0.077 0.145 0.800
Tl2 0.437 0.790 0.513
# Formation energy: -190 meV/atom
# Density of states at the Fermi level: 5.0 states/eV per cell
# Symmetry: P-1 (2)
# Calculated volume: 20.85 Å³ per atom

2.
# PBE AcErBiPb, optimized geometry
data_AcErBiPb
_cell_length_a 5.694
_cell_length_b 5.694
_cell_length_c 5.694
_cell_angle_alpha 60.00
_cell_angle_beta 60.00
_cell_angle_gamma 60.00
_space_group_name_H-M_alt 'P 1'
_space_group_IT_number 1
loop_
_space_group_symop_operation_xyz
'x,y,z'
loop_
_atom_site_label
_atom_site_fract_x
_atom_site_fract_y
_atom_site_fract_z
Pb1 0.750 0.750 0.750
Ac1 0.500 0.500 0.500
Bi1 0.250 0.250 0.250
Er1 0.000 0.000 0.000
# Formation energy: -468 meV/atom
# Density of states at the Fermi level: 4.5 states/eV per cell
# Symmetry: F-43m (216)
# Calculated volume: 32.64 Å³ per atom